This record from Alexandria via LeMat-Bulk describes a relaxed DySi3Pd3 crystal. The functional is PBE.

Structure (POSCAR):
```
DySi3Pd3
1.0
8.9416 0.0000 0.0000
-4.4708 7.7436 0.0000
0.0000 0.0000 4.0503
Dy Si Pd
2 6 6
Cartesian
0.0000 5.1624 1.0126
4.4708 2.5812 3.0377
-1.5011 3.3552 3.0377
-0.8145 7.3660 3.0377
2.1551 2.9776 1.0126
2.3156 4.7660 3.0377
5.2853 0.3776 1.0126
5.9719 4.3884 1.0126
-2.4096 5.6097 3.0377
0.8175 2.8521 3.0377
2.8787 0.7181 1.0126
1.5921 7.0255 3.0377
3.6533 4.8916 1.0126
6.8804 2.1340 1.0126
```

Summary:
space group	P6_3/m, No. 176
uncorrected formation energy	-545	meV per atom
total DFT energy (no corrections)	-5.752	eV/atom

This record from Alexandria via LeMat-Bulk describes a relaxed DyAgPd4 crystal. The functional is PBE.

Structure (POSCAR):
```
DyAgPd4
1.0
5.8474 -2.1107 0.0000
5.8474 2.1107 0.0000
-0.0126 0.0000 4.2086
Dy Ag Pd
1 1 4
Cartesian
0.0000 0.0000 0.0000
5.8411 0.0000 2.1043
1.9915 0.0000 2.1043
3.8760 0.0000 4.2078
7.8062 0.0000 0.0008
9.6907 0.0000 2.1043
```

Summary:
space group	C2/m, No. 12
energy relative to the elements	-0.499	eV per atom
total DFT energy (no corrections)	-5.204	eV/atom

This record from Alexandria via LeMat-Bulk describes a relaxed RbNa2Rh crystal. The functional is PBE.

Structure (POSCAR):
```
RbNa2Rh
1.0
0.0000 3.7876 3.7876
3.7876 0.0000 3.7876
3.7876 3.7876 0.0000
Rb Na Rh
1 2 1
Cartesian
0.0000 0.0000 0.0000
1.8938 1.8938 1.8938
5.6814 5.6814 5.6814
3.7876 3.7876 3.7876
```

Summary:
space group	Fm-3m, No. 225
energy relative to the elements	0.498	eV per atom
total DFT energy (no corrections)	-2.242	eV/atom

This record from Alexandria via LeMat-Bulk describes a relaxed TaMnTc2 crystal. The functional is PBE.

Structure (POSCAR):
```
TaMnTc2
1.0
2.7190 0.0000 0.0000
0.0000 4.3576 0.0000
-0.7620 0.0000 5.0524
Ta Mn Tc
1 1 2
Cartesian
0.0000 0.0000 0.0000
0.9785 0.0000 2.5262
0.1039 2.1788 3.7422
1.8531 2.1788 1.3102
```

Summary:
space group	P2/m, No. 10
energy relative to the elements	0.009	eV per atom
total DFT energy (no corrections)	-10.429	eV/atom

This record from Alexandria via LeMat-Bulk describes a relaxed BRu3 crystal. The functional is PBE.

Structure (POSCAR):
```
BRu3
1.0
2.8062 0.0000 0.0000
0.0000 2.8266 0.0000
0.0000 0.0000 6.4071
B Ru
1 3
Cartesian
0.0000 0.0000 0.0000
0.0000 1.4133 3.0468
1.4031 0.0000 4.7077
1.4031 1.4133 0.8081
```

Summary:
space group	Pmm2, No. 25
energy relative to the elements	0.066	eV per atom
total DFT energy (no corrections)	-8.561	eV/atom

This record from Alexandria via LeMat-Bulk describes a relaxed NaYSb2O8 crystal. The functional is PBE.

Structure (POSCAR):
```
NaYSb2O8
1.0
5.9309 0.0000 0.0000
-2.9654 5.1363 0.0000
0.0000 0.0000 7.0101
Na Y Sb O
1 1 2 8
Cartesian
0.0000 0.0000 0.0000
0.0000 0.0000 3.5050
0.0000 3.4242 3.2898
2.9654 1.7121 3.7202
-0.7815 1.9239 4.3890
-0.9085 4.8511 4.3890
0.0000 3.4242 1.3213
1.2754 1.6388 2.6211
1.6900 3.4975 4.3890
2.9654 1.7121 5.6888
3.8740 0.2851 2.6211
3.7470 3.2124 2.6211
```

Summary:
space group	P-3, No. 147
uncorrected formation energy	-1266	meV per atom
total DFT energy (no corrections)	-5.907	eV/atom

This record from Alexandria via LeMat-Bulk describes a relaxed Cd3Ga2Ag4 crystal. The functional is PBE.

Structure (POSCAR):
```
Cd3Ga2Ag4
1.0
4.5393 -4.7621 0.0000
4.5393 4.7621 0.0000
-2.9535 0.0000 8.1295
Cd Ga Ag
6 4 8
Cartesian
2.3242 3.0632 6.0972
2.2602 1.4241 2.1205
0.7834 -1.4241 6.1853
5.3418 1.4241 1.9443
3.8650 -1.4241 6.0091
3.8010 -3.0632 2.0324
3.7159 3.7304 0.6522
3.8860 3.7304 3.4126
2.2392 -3.7304 4.7170
2.4093 -3.7304 7.4773
0.6770 1.0664 4.6632
0.7598 1.1559 7.6440
2.1538 -1.0664 0.5984
3.8886 1.1559 4.5503
2.2366 -1.1559 3.5792
3.9714 1.0664 7.5311
5.3653 -1.1559 0.4856
5.4482 -1.0664 3.4664
```

Summary:
space group	C2/c, No. 15
energy relative to the elements	0.006	eV per atom
total DFT energy (no corrections)	-2.239	eV/atom

This record from Alexandria via LeMat-Bulk describes a relaxed AcNd4Er4 crystal. The functional is PBE.

Structure (POSCAR):
```
AcNd4Er4
1.0
6.3016 0.0000 0.0000
-1.0538 9.5750 0.0000
-3.1336 -2.3996 10.1615
Ac Nd Er
2 8 8
Cartesian
0.5130 3.5118 2.0067
1.6012 3.6636 8.1548
-1.5758 -1.5561 9.8557
-1.5574 1.8890 8.7078
-1.5620 5.4341 7.5942
-0.5122 6.2291 4.2602
2.6264 0.9462 5.9013
3.6762 1.7413 2.5673
3.6716 5.2864 1.4536
3.6900 8.7314 0.3057
-0.5564 2.6969 5.3652
-0.5104 -0.7258 6.4617
0.5233 0.0115 3.1396
0.5667 7.0378 0.8890
1.5475 0.1375 9.2725
1.5909 7.1639 7.0218
2.6246 7.9011 3.6997
2.6706 4.4785 4.7962
```

Summary:
space group	P-1, No. 2
energy relative to the elements	0.035	eV per atom
total DFT energy (no corrections)	-4.569	eV/atom

This record from Alexandria via LeMat-Bulk describes a relaxed In2SnAu crystal. The functional is PBE.

Structure (POSCAR):
```
In2SnAu
1.0
4.5480 0.0000 0.0000
0.0000 4.5480 0.0000
0.0000 0.0000 4.6766
In Sn Au
2 1 1
Cartesian
0.0000 2.2740 0.0000
2.2740 0.0000 0.0000
0.0000 0.0000 2.3383
2.2740 2.2740 2.3383
```

Summary:
space group	P4/mmm, No. 123
energy relative to the elements	0.003	eV per atom
total DFT energy (no corrections)	-3.186	eV/atom

This record from Alexandria via LeMat-Bulk describes a relaxed NaAlPH crystal. The functional is PBE.

Structure (POSCAR):
```
NaAlPH
1.0
3.8678 0.0000 0.0000
-1.9339 3.3496 0.0000
0.0000 0.0000 10.8406
Na Al P H
2 2 2 2
Cartesian
0.0000 2.2331 0.0000
1.9339 1.1165 5.4203
0.0000 0.0000 2.5743
0.0000 0.0000 7.9946
0.0000 2.2331 3.3614
1.9339 1.1165 8.7817
0.0000 0.0000 0.8993
0.0000 0.0000 6.3196
```

Summary:
space group	P6_3mc, No. 186
total DFT energy (no corrections)	-3.932	eV/atom

This record from Alexandria via LeMat-Bulk describes a relaxed HoSc2Nb crystal. The functional is PBE.

Structure (POSCAR):
```
HoSc2Nb
1.0
3.6873 0.0000 0.0000
0.0000 3.6873 0.0000
0.0000 0.0000 6.9759
Ho Sc Nb
1 2 1
Cartesian
0.0000 0.0000 0.0000
1.8436 1.8436 2.0349
1.8436 1.8436 4.9410
0.0000 0.0000 3.4879
```

Summary:
space group	P4/mmm, No. 123
energy relative to the elements	0.146	eV per atom
total DFT energy (no corrections)	-6.681	eV/atom

This record from Alexandria via LeMat-Bulk describes a relaxed K2Te2S crystal. The functional is PBE.

Structure (POSCAR):
```
K2Te2S
1.0
-3.4431 3.4431 4.1334
3.4431 -3.4431 4.1334
3.4431 3.4431 -4.1334
K Te S
2 2 1
Cartesian
3.4431 0.0000 2.0667
0.0000 3.4431 2.0667
0.0000 0.0000 1.4813
0.0000 0.0000 6.7854
0.0000 0.0000 4.1334
```

Summary:
space group	I4/mmm, No. 139
uncorrected formation energy	-521	meV per atom
total DFT energy (no corrections)	-3.042	eV/atom

no.,total moment (μB/f.u.)
1,0.00
2,0.00
3,0.00
4,2.36
5,0.00
6,2.00
7,0.00
8,0.00
9,0.00
10,0.00
11,0.00
12,0.00